DFT (PBE+U) results for K2WO after structural relaxation.

Properties
M_tot in μB/cell: 13.6
Total energy in eV per atom: -3.84

abc: 12.0661 12.0661 4.0489
angles: 90.00 90.00 90.00
Closest atoms and distances in Å follow each position.
Space group I-42d (No. 122)
One atom of each set of equivalent atoms:
K  0.0609  0.2500  0.1250 (multiplicity 8)  2 O 3.15, 2 W 3.46
W  0.0000  0.0000  0.5000 (multiplicity 4)  2 O 2.02
O  0.0000  0.0000  0.0000 (multiplicity 4)  2 W 2.02